Below is an optimized crystal structure of MgZn2Cu, with properties calculated at the PBE level.

```
MgZn2Cu
1.0
-1.211 -4.870 -0.954
0.818 -3.765 -3.354
2.909 -2.965 1.095
Zn Cu Mg
2 1 1
direct
0.018 0.018 0.984
0.482 0.482 0.516
0.750 0.750 0.750
0.250 0.250 0.250
```

Computed properties:
Crystal system: monoclinic
SG: C2/m, No. 12

Below is an optimized crystal structure of Mg3Zn8Cu, with properties calculated at the PBE level.

```
Mg3Zn8Cu
1.0
-1.556 -4.429 2.081
2.120 -1.668 4.369
-5.665 2.100 6.568
Zn Mg Cu
8 3 1
direct
0.062 0.559 0.318
0.563 0.563 0.810
0.812 0.812 0.564
0.064 0.563 0.810
0.559 0.062 0.318
0.563 0.064 0.810
0.062 0.062 0.318
0.312 0.312 0.063
0.004 0.004 0.989
0.497 0.497 0.509
0.625 0.625 0.126
0.128 0.128 0.616
```

Computed properties:
Crystal system: trigonal
SG: R3m, No. 160

Below is an optimized crystal structure of MgZnCu2, with properties calculated at the PBE level.

```
MgZnCu2
1.0
-2.040 3.410 2.706
0.282 -0.916 4.711
3.191 0.047 -3.595
Cu Mg Zn
2 1 1
direct
0.250 0.750 0.500
0.000 0.000 0.000
0.500 0.500 0.000
0.750 0.250 0.500
```

Computed properties:
Crystal system: tetragonal
SG: I-4m2, No. 119

Below is an optimized crystal structure of MgZn2Cu4, with properties calculated at the PBE level.

```
MgZn2Cu4
1.0
-5.116 2.892 2.943
-6.303 1.614 -0.929
-6.059 -1.190 2.251
Zn Cu Mg
2 4 1
direct
0.725 0.725 0.725
0.275 0.275 0.275
0.858 0.858 0.858
0.428 0.428 0.428
0.572 0.572 0.572
0.142 0.142 0.142
0.000 0.000 0.000
```

Computed properties:
Crystal system: trigonal
SG: R-3m, No. 166

Below is an optimized crystal structure of MgZn4Cu, with properties calculated at the PBE level.

```
MgZn4Cu
1.0
-3.055 -1.313 -1.718
-0.933 -4.293 4.941
-4.381 5.276 3.757
Zn Cu Mg
8 2 2
direct
0.500 0.312 0.953
0.500 0.688 0.047
0.500 0.943 0.750
0.000 0.000 0.500
0.500 0.312 0.547
0.000 0.000 0.000
0.500 0.057 0.250
0.500 0.688 0.453
0.000 0.781 0.250
0.000 0.219 0.750
0.000 0.614 0.750
0.000 0.386 0.250
```

Computed properties:
Crystal system: orthorhombic
SG: Pmma, No. 51

Below is an optimized crystal structure of Mg6ZnCu6, with properties calculated at the PBE level.

```
Mg6ZnCu6
1.0
5.846 0.000 0.000
-2.923 4.805 0.000
0.000 0.000 7.890
Mg Cu Zn
6 6 1
direct
0.500 0.500 0.786
0.500 0.500 0.214
0.500 0.000 0.322
0.000 0.500 0.214
0.000 0.500 0.786
0.500 0.000 0.678
0.000 0.000 0.664
0.233 0.465 0.500
0.382 0.764 0.000
0.767 0.535 0.500
0.000 0.000 0.336
0.618 0.236 0.000
0.000 0.000 0.000
```

Computed properties:
Crystal system: orthorhombic
SG: Cmmm, No. 65

Below is an optimized crystal structure of Mg3Zn2Cu2, with properties calculated at the PBE level.

```
Mg3Zn2Cu2
1.0
5.225 5.214 8.615
-7.414 -2.192 -8.302
-1.722 -1.446 1.920
Cu Zn Mg
2 2 3
direct
0.715 0.285 0.500
0.285 0.715 0.500
0.178 0.822 0.000
0.822 0.178 0.000
0.406 0.594 0.500
0.594 0.406 0.500
0.000 0.000 0.000
```

Computed properties:
Crystal system: orthorhombic
SG: Cmmm, No. 65

Below is an optimized crystal structure of MgZn5Cu6, with properties calculated at the PBE level.

```
MgZn5Cu6
1.0
3.823 -0.022 1.302
0.034 6.576 0.011
0.037 -0.011 6.403
Zn Cu Mg
5 6 1
direct
0.335 0.500 0.330
0.332 0.000 0.335
0.665 0.500 0.670
0.000 0.500 0.000
0.668 0.000 0.665
0.830 0.744 0.340
0.170 0.744 0.660
0.830 0.256 0.340
0.500 0.259 0.000
0.500 0.741 0.000
0.170 0.256 0.660
0.000 0.000 0.000
```

Computed properties:
Crystal system: monoclinic
SG: P2/m, No. 10

Below is an optimized crystal structure of Mg2Zn2Cu, with properties calculated at the PBE level.

```
Mg2Zn2Cu
1.0
7.350 0.000 0.000
0.000 7.350 0.000
0.000 0.000 3.351
Zn Cu Mg
4 2 4
direct
0.634 0.866 0.500
0.134 0.634 0.500
0.866 0.366 0.500
0.366 0.134 0.500
0.000 0.000 0.000
0.500 0.500 0.000
0.334 0.834 0.000
0.166 0.334 0.000
0.666 0.166 0.000
0.834 0.666 0.000
```

Computed properties:
Crystal system: tetragonal
SG: P4/mbm, No. 127

Below is an optimized crystal structure of Mg6ZnCu, with properties calculated at the PBE level.

```
Mg6ZnCu
1.0
3.029 -5.209 0.000
3.029 5.209 0.000
0.000 0.000 4.992
Cu Zn Mg
1 1 6
direct
0.339 0.661 0.500
0.162 0.838 0.000
0.648 0.833 0.000
0.335 0.152 0.500
0.837 0.163 0.500
0.664 0.336 0.000
0.848 0.665 0.500
0.167 0.352 0.000
```

Computed properties:
Crystal system: orthorhombic
SG: Amm2, No. 38

Below is an optimized crystal structure of MgZn2Cu, with properties calculated at the PBE level.

```
MgZn2Cu
1.0
-1.427 0.826 2.210
-2.891 -2.356 -0.986
4.992 -8.861 6.533
Cu Zn Mg
2 4 2
direct
0.000 0.500 0.338
0.500 0.000 0.662
0.000 0.000 0.961
0.500 0.000 0.438
0.500 0.500 0.039
0.000 0.500 0.562
0.500 0.000 0.210
0.000 0.500 0.790
```

Computed properties:
Crystal system: orthorhombic
SG: Pmmn, No. 59

Below is an optimized crystal structure of Mg2Zn4Cu, with properties calculated at the PBE level.

```
Mg2Zn4Cu
1.0
6.428 -2.267 -0.019
6.428 2.267 -0.019
5.640 0.000 3.827
Zn Cu Mg
4 1 2
direct
0.866 0.866 0.866
0.568 0.568 0.568
0.134 0.134 0.134
0.432 0.432 0.432
0.000 0.000 0.000
0.715 0.715 0.715
0.285 0.285 0.285
```

Computed properties:
Crystal system: trigonal
SG: R-3m, No. 166

Below is an optimized crystal structure of MgZn4Cu8, with properties calculated at the PBE level.

```
MgZn4Cu8
1.0
6.992 0.049 0.000
-5.995 3.599 0.000
-0.499 -1.824 6.731
Zn Cu Mg
4 8 1
direct
0.291 0.464 0.755
0.709 0.536 0.245
0.464 0.709 0.173
0.536 0.291 0.827
0.231 0.842 0.073
0.616 0.931 0.546
0.931 0.384 0.315
0.842 0.769 0.610
0.158 0.231 0.390
0.769 0.158 0.927
0.384 0.069 0.454
0.069 0.616 0.685
0.000 0.000 0.000
```

Computed properties:
Crystal system: tetragonal
SG: I4/m, No. 87

Below is an optimized crystal structure of MgZn2Cu2, with properties calculated at the PBE level.

```
MgZn2Cu2
1.0
-0.744 0.971 4.941
-3.343 -2.028 3.258
0.786 -2.955 4.052
Cu Zn Mg
2 2 1
direct
0.407 0.407 0.408
0.593 0.593 0.592
0.211 0.211 0.210
0.789 0.789 0.790
0.000 0.000 0.000
```

Computed properties:
Crystal system: monoclinic
SG: C2/m, No. 12

Below is an optimized crystal structure of MgZnCu4, with properties calculated at the PBE level.

```
MgZnCu4
1.0
-2.519 -1.041 -0.460
2.099 -2.226 -6.454
2.386 -7.212 3.264
Cu Zn Mg
8 2 2
direct
0.500 0.319 0.516
0.500 0.880 0.750
0.000 0.000 0.500
0.500 0.120 0.250
0.500 0.681 0.016
0.500 0.319 0.984
0.500 0.681 0.484
0.000 0.000 0.000
0.000 0.184 0.750
0.000 0.816 0.250
0.000 0.556 0.750
0.000 0.444 0.250
```

Computed properties:
Crystal system: orthorhombic
SG: Pmma, No. 51

Below is an optimized crystal structure of MgZnCu, with properties calculated at the PBE level.

```
MgZnCu
1.0
2.897 0.000 0.000
-1.448 2.509 0.000
0.000 0.000 6.541
Cu Zn Mg
1 1 1
direct
0.000 0.000 0.991
0.333 0.667 0.686
0.667 0.333 0.323
```

Computed properties:
Crystal system: trigonal
SG: P3m1, No. 156

Below is an optimized crystal structure of Mg2ZnCu3, with properties calculated at the PBE level.

```
Mg2ZnCu3
1.0
7.131 -0.005 0.000
-5.097 4.987 0.000
0.000 0.000 5.229
Cu Mg Zn
6 4 2
direct
0.923 0.567 0.750
0.844 0.156 0.750
0.156 0.844 0.250
0.567 0.923 0.250
0.077 0.433 0.250
0.433 0.077 0.750
0.752 0.752 0.500
0.752 0.752 0.000
0.248 0.248 0.000
0.248 0.248 0.500
0.335 0.665 0.750
0.665 0.335 0.250
```

Computed properties:
Crystal system: orthorhombic
SG: Cmcm, No. 63

Below is an optimized crystal structure of MgZnCu, with properties calculated at the PBE level.

```
MgZnCu
1.0
-4.462 1.111 -2.841
1.638 -5.352 -4.666
-2.154 -4.688 1.549
Zn Mg Cu
4 4 4
direct
0.500 0.243 0.379
0.500 0.757 0.621
0.000 0.757 0.121
0.000 0.243 0.879
0.500 0.341 0.830
0.500 0.659 0.170
0.000 0.341 0.330
0.000 0.659 0.670
0.251 0.000 0.249
0.249 0.000 0.749
0.751 0.000 0.251
0.749 0.000 0.751
```

Computed properties:
Crystal system: monoclinic
SG: P2_1/c, No. 14

Below is an optimized crystal structure of MgZn2Cu3, with properties calculated at the PBE level.

```
MgZn2Cu3
1.0
-3.905 0.552 -3.090
4.155 -2.298 -1.599
-2.896 -6.922 2.423
Mg Zn Cu
2 4 6
direct
0.000 0.000 0.000
0.000 0.000 0.500
0.667 0.333 0.073
0.333 0.667 0.927
0.333 0.667 0.573
0.667 0.333 0.427
0.826 0.652 0.750
0.174 0.348 0.250
0.174 0.826 0.250
0.826 0.174 0.750
0.652 0.826 0.250
0.348 0.174 0.750
```

Computed properties:
Crystal system: hexagonal
SG: P6_3/mmc, No. 194

Below is an optimized crystal structure of MgZnCu2, with properties calculated at the PBE level.

```
MgZnCu2
1.0
9.803 -0.025 0.000
-9.407 2.759 0.000
0.000 0.000 4.331
Mg Cu Zn
2 4 2
direct
0.908 0.092 0.250
0.092 0.908 0.750
0.467 0.533 0.750
0.273 0.727 0.250
0.533 0.467 0.250
0.727 0.273 0.750
0.339 0.661 0.750
0.661 0.339 0.250
```

Computed properties:
Crystal system: orthorhombic
SG: Cmcm, No. 63

Below is an optimized crystal structure of MgZnCu, with properties calculated at the PBE level.

```
MgZnCu
1.0
5.050 -0.053 -0.005
-0.085 5.049 0.005
-2.465 -2.516 3.620
Mg Zn Cu
2 2 2
direct
0.121 0.871 0.250
0.879 0.129 0.750
0.500 0.000 0.000
0.500 0.500 0.500
0.000 0.500 0.500
0.500 0.500 0.000
```

Computed properties:
Crystal system: orthorhombic
SG: Imma, No. 74

Below is an optimized crystal structure of Mg2Zn3Cu2, with properties calculated at the PBE level.

```
Mg2Zn3Cu2
1.0
-2.993 -2.726 2.872
-2.770 -3.962 -1.127
7.042 -9.155 3.222
Zn Cu Mg
6 4 4
direct
0.310 0.310 0.843
0.845 0.845 0.538
0.122 0.122 0.044
0.155 0.155 0.462
0.690 0.690 0.157
0.878 0.878 0.956
0.218 0.218 0.661
0.093 0.093 0.264
0.907 0.907 0.736
0.782 0.782 0.339
0.468 0.468 0.382
0.394 0.394 0.145
0.606 0.606 0.855
0.532 0.532 0.618
```

Computed properties:
Crystal system: monoclinic
SG: C2/m, No. 12

Below is an optimized crystal structure of MgZn3Cu2, with properties calculated at the PBE level.

```
MgZn3Cu2
1.0
-0.920 -4.798 -2.080
-0.379 -4.501 2.792
-4.465 -2.796 0.667
Zn Mg Cu
3 1 2
direct
0.500 0.500 0.000
0.500 0.000 0.500
0.000 0.500 0.500
0.500 0.500 0.500
0.900 0.900 0.900
0.100 0.100 0.100
```

Computed properties:
Crystal system: trigonal
SG: R-3m, No. 166

| no. | energy of formation (eV/atom) | mass density (g/cm3) |
| --- | --- | --- |
| 1 | -0.072 | 5.98 |
| 2 | -0.068 | 5.70 |
| 3 | -0.098 | 6.38 |
| 4 | -0.034 | 7.14 |
| 5 | -0.040 | 6.00 |
| 6 | 0.101 | 4.44 |
| 7 | 0.019 | 4.43 |
| 8 | -0.091 | 7.57 |
| 9 | 0.179 | 4.46 |
| 10 | 0.002 | 2.90 |
| 11 | 0.045 | 5.65 |
| 12 | -0.037 | 5.54 |
| 13 | -0.055 | 7.70 |
| 14 | -0.093 | 6.58 |
| 15 | -0.025 | 7.00 |
| 16 | 0.044 | 5.35 |
| 17 | 0.184 | 5.45 |
| 18 | -0.052 | 5.15 |
| 19 | 0.015 | 6.70 |
| 20 | -0.082 | 6.20 |
| 21 | -0.200 | 5.52 |
| 22 | -0.077 | 5.63 |
| 23 | 0.131 | 6.15 |